Entry 1:
VASP calculation (PBE-GGA) on crystalline BC at its relaxed geometry.

Cell lengths 2.644, 2.644, 14.961 Å; angles 90.00, 90.00, 120.00 degrees
Atoms (fractional coordinates):
B 0.000 0.000 0.000
B 0.000 0.000 0.113
B 0.000 0.000 0.441
B 0.333 0.667 0.562
B 0.333 0.667 0.814
B 0.667 0.333 0.927
C 0.000 0.000 0.552
C 0.333 0.667 0.160
C 0.333 0.667 0.259
C 0.667 0.333 0.297
C 0.667 0.333 0.396
C 0.667 0.333 0.822

Computed properties:
magnetic moment: 0.00 μB per atom
formation energy from the elements: 0.33 eV per atom

Entry 2:
VASP calculation (PBE-GGA) on crystalline B7C5 at its relaxed geometry.

Cell lengths 2.532, 2.532, 14.694 Å; angles 90.00, 90.00, 120.00 degrees
Atoms (fractional coordinates):
B 0.000 0.000 0.000
B 0.000 0.000 0.114
B 0.000 0.000 0.579
B 0.333 0.667 0.187
B 0.333 0.667 0.655
B 0.333 0.667 0.771
B 0.667 0.333 0.926
C 0.000 0.000 0.471
C 0.333 0.667 0.295
C 0.667 0.333 0.330
C 0.667 0.333 0.436
C 0.667 0.333 0.822

Computed properties:
magnetic moment: 0.00 μB per atom
formation energy from the elements: 0.46 eV per atom

Entry 3:
VASP calculation (PBE-GGA) on crystalline B3C at its relaxed geometry.

Cell lengths 4.324, 4.324, 7.871 Å; angles 114.16, 114.16, 37.28 degrees
Atoms (fractional coordinates):
B 0.000 0.000 0.000
B 0.012 0.012 0.397
B 0.179 0.179 0.884
B 0.404 0.404 0.683
B 0.448 0.448 0.117
B 0.525 0.525 0.545
B 0.615 0.615 0.366
B 0.764 0.764 0.218
B 0.851 0.851 0.463
C 0.233 0.233 0.105
C 0.673 0.673 0.774
C 0.871 0.871 0.771

Computed properties:
magnetic moment: 0.00 μB per atom
formation energy from the elements: 0.35 eV per atom

Entry 4:
VASP calculation (PBE-GGA) on crystalline BC at its relaxed geometry.

Cell lengths 6.703, 6.703, 4.900 Å; angles 99.12, 99.12, 21.33 degrees
Atoms (fractional coordinates):
B 0.005 0.005 0.173
B 0.134 0.134 0.984
B 0.300 0.300 0.771
B 0.700 0.700 0.229
B 0.866 0.866 0.016
B 0.995 0.995 0.827
C 0.177 0.177 0.679
C 0.354 0.354 0.491
C 0.469 0.469 0.612
C 0.531 0.531 0.388
C 0.646 0.646 0.509
C 0.823 0.823 0.321

Computed properties:
magnetic moment: 0.00 μB per atom
formation energy from the elements: 0.35 eV per atom

Entry 5:
VASP calculation (PBE-GGA) on crystalline BC at its relaxed geometry.

Cell lengths 6.073, 6.073, 5.536 Å; angles 102.50, 102.50, 25.03 degrees
Atoms (fractional coordinates):
B 0.000 0.000 0.000
B 0.008 0.008 0.507
B 0.307 0.307 0.700
B 0.410 0.410 0.394
B 0.638 0.638 0.757
B 0.758 0.758 0.179
C 0.077 0.077 0.790
C 0.083 0.083 0.281
C 0.323 0.323 0.143
C 0.401 0.401 0.951
C 0.658 0.658 0.332
C 0.742 0.742 0.601

Computed properties:
magnetic moment: 0.00 μB per atom
formation energy from the elements: 0.37 eV per atom

Entry 6:
VASP calculation (PBE-GGA) on crystalline BC at its relaxed geometry.

Cell lengths 2.590, 2.590, 13.971 Å; angles 90.00, 90.00, 120.00 degrees
Atoms (fractional coordinates):
B 0.000 0.000 0.000
B 0.000 0.000 0.122
B 0.000 0.000 0.594
B 0.667 0.333 0.434
B 0.667 0.333 0.799
B 0.667 0.333 0.920
C 0.000 0.000 0.481
C 0.333 0.667 0.170
C 0.333 0.667 0.280
C 0.333 0.667 0.644
C 0.333 0.667 0.747
C 0.667 0.333 0.316

Computed properties:
magnetic moment: 0.00 μB per atom
formation energy from the elements: 0.48 eV per atom

Entry 7:
VASP calculation (PBE-GGA) on crystalline BC at its relaxed geometry.

Cell lengths 3.792, 3.792, 3.792 Å; angles 87.34, 87.34, 87.34 degrees
Atoms (fractional coordinates):
B 0.000 0.000 0.000
B 0.310 0.310 0.750
B 0.310 0.750 0.310
B 0.750 0.310 0.310
C 0.007 0.533 0.533
C 0.533 0.007 0.533
C 0.533 0.533 0.007
C 0.770 0.770 0.770

Computed properties:
magnetic moment: 0.00 μB per atom
formation energy from the elements: 0.36 eV per atom

Entry 8:
VASP calculation (PBE-GGA) on crystalline B7C5 at its relaxed geometry.

Cell lengths 4.488, 4.488, 7.669 Å; angles 106.67, 106.67, 33.35 degrees
Atoms (fractional coordinates):
B 0.000 0.000 0.000
B 0.214 0.214 0.490
B 0.290 0.290 0.186
B 0.488 0.488 0.590
B 0.504 0.504 0.168
B 0.709 0.709 0.310
B 0.928 0.928 0.298
C 0.035 0.035 0.505
C 0.178 0.178 0.965
C 0.358 0.358 0.692
C 0.720 0.720 0.888
C 0.839 0.839 0.792

Computed properties:
magnetic moment: 0.00 μB per atom
formation energy from the elements: 0.37 eV per atom

- Which of these has the highest formation energy from the elements?
  number 6

- Among the records above, which one has the highest formation energy from the elements?
  number 6